VASP calculation (PBE) on a relaxed AcAgGeTe3 crystal.

Lattice parameters (Å, degrees): 8.931 4.429 9.817 90.00 102.23 90.00
Fractional positions:
Ac  0.178  0.250  0.242
Ac  0.822  0.750  0.758
Ag  0.080  0.250  0.580
Ag  0.920  0.750  0.420
Ge  0.339  0.750  0.859
Ge  0.661  0.250  0.141
Te  0.108  0.250  0.877
Te  0.257  0.750  0.510
Te  0.430  0.750  0.154
Te  0.570  0.250  0.846
Te  0.743  0.250  0.490
Te  0.892  0.750  0.123

Calculated values
Uncorrected formation energy: -68 kJ/mol of atoms
ρ: 6.92 Mg/m³